Y2CF2 | PBEsol | optimized geometry

**N(E_F)**: 0.198 states/eV per atom
**SG**: I4/mmm, No. 139
**Formation energy without anion corrections**: -2034 meV per atom
**Raw total energy**: -37.31 eV per cell

Geometry as POSCAR:
```
Y2CF2
1.0
-1.671 1.671 6.008
1.671 -1.671 6.008
1.671 1.671 -6.008
Y C F
2 1 2
direct
0.116 0.116 0.000
0.884 0.884 0.000
0.500 0.500 0.000
0.250 0.750 0.500
0.750 0.250 0.500
```